No. 1
First-principles (PBE) data for crystalline Pr12Cd6Pd at its relaxed geometry, as listed in the Alexandria database. Values from VASP.

Computed properties:
SG = R-3, No. 148
energy relative to the elements = -0.1575 eV per atom
V = 29.96 Å³/atom
density of states at the Fermi level = 26.6 states/eV per cell

```
&SYSTEM
  ibrav = 0, nat = 19, ntyp = 3
/
ATOMIC_SPECIES
Pr 140.91 Pr.upf
Cd 112.41 Cd.upf
Pd 106.42 Pd.upf
CELL_PARAMETERS angstrom
5.802 3.350 4.881
-5.802 3.350 4.881
0.000 -6.700 4.881
ATOMIC_POSITIONS crystal
Pr 0.028 0.306 0.946
Pr 0.054 0.972 0.694
Pr 0.136 0.358 0.476
Pr 0.306 0.946 0.028
Pr 0.358 0.476 0.136
Pr 0.476 0.136 0.358
Pr 0.524 0.864 0.642
Pr 0.642 0.524 0.864
Pr 0.694 0.054 0.972
Pr 0.864 0.642 0.524
Pr 0.946 0.028 0.306
Pr 0.972 0.694 0.054
Cd 0.241 0.756 0.394
Cd 0.244 0.606 0.759
Cd 0.394 0.241 0.756
Cd 0.606 0.759 0.244
Cd 0.756 0.394 0.241
Cd 0.759 0.244 0.606
Pd 0.500 0.500 0.500
```

No. 2
First-principles (PBE) data for crystalline CaLuRh2 at its relaxed geometry, as listed in the Alexandria database. Values from VASP.

Computed properties:
SG = Fm-3m, No. 225
energy above the most stable polymorph in this dataset = 0.19 eV per formula unit
energy relative to the elements = -0.6767 eV per atom
V = 19.19 Å³/atom
density of states at the Fermi level = 1.7 states/eV per cell

```
&SYSTEM
  ibrav = 0, nat = 4, ntyp = 3
/
ATOMIC_SPECIES
Ca 40.08 Ca.upf
Lu 174.97 Lu.upf
Rh 102.91 Rh.upf
CELL_PARAMETERS angstrom
0.000 3.373 3.373
3.373 0.000 3.373
3.373 3.373 0.000
ATOMIC_POSITIONS crystal
Ca 0.000 0.000 0.000
Lu 0.500 0.500 0.500
Rh 0.250 0.250 0.250
Rh 0.750 0.750 0.750
```

No. 3
First-principles (PBE) data for crystalline CaVCdGa2 at its relaxed geometry, as listed in the Alexandria database. Values from VASP.

Computed properties:
SG = P4/mmm, No. 123
energy relative to the elements = 0.4061 eV per atom
V = 26.96 Å³/atom
density of states at the Fermi level = 3.2 states/eV per cell

```
&SYSTEM
  ibrav = 0, nat = 5, ntyp = 4
/
ATOMIC_SPECIES
Ca 40.08 Ca.upf
V 50.94 V.upf
Cd 112.41 Cd.upf
Ga 69.72 Ga.upf
CELL_PARAMETERS angstrom
4.970 0.000 0.000
0.000 4.970 0.000
0.000 0.000 5.457
ATOMIC_POSITIONS crystal
Ca 0.000 0.000 0.000
V 0.000 0.000 0.500
Cd 0.500 0.500 0.000
Ga 0.000 0.500 0.500
Ga 0.500 0.000 0.500
```

No. 4
First-principles (PBE) data for crystalline HfCoSbRh at its relaxed geometry, as listed in the Alexandria database. Values from VASP.

Computed properties:
SG = F-43m, No. 216
V = 16.39 Å³/atom
density of states at the Fermi level = 4.9 states/eV per cell
ΔE_f (raw) = -0.442 eV per atom

```
&SYSTEM
  ibrav = 0, nat = 4, ntyp = 4
/
ATOMIC_SPECIES
Hf 178.49 Hf.upf
Co 58.93 Co.upf
Sb 121.76 Sb.upf
Rh 102.91 Rh.upf
CELL_PARAMETERS angstrom
0.000 3.200 3.200
3.200 0.000 3.200
3.200 3.200 0.000
ATOMIC_POSITIONS crystal
Hf 0.000 0.000 0.000
Co 0.750 0.750 0.750
Sb 0.500 0.500 0.500
Rh 0.250 0.250 0.250
```

No. 5
First-principles (PBE) data for crystalline Tm4SnC2 at its relaxed geometry, as listed in the Alexandria database. Values from VASP.

Computed properties:
SG = R-3m, No. 166
energy relative to the elements = -0.4753 eV per atom
V = 21.72 Å³/atom
density of states at the Fermi level = 3.5 states/eV per cell

```
&SYSTEM
  ibrav = 0, nat = 7, ntyp = 3
/
ATOMIC_SPECIES
Tm 168.93 Tm.upf
Sn 118.71 Sn.upf
C 12.01 C.upf
CELL_PARAMETERS angstrom
1.777 1.026 13.896
-1.777 1.026 13.896
0.000 -2.052 13.896
ATOMIC_POSITIONS crystal
Tm 0.124 0.124 0.124
Tm 0.272 0.272 0.272
Tm 0.728 0.728 0.728
Tm 0.876 0.876 0.876
Sn 0.000 0.000 0.000
C 0.427 0.427 0.427
C 0.573 0.573 0.573
```

No. 6
First-principles (PBE) data for crystalline NpTl2InCl6 at its relaxed geometry, as listed in the Alexandria database. Values from VASP.

Computed properties:
SG = P2_1/c, No. 14
V = 34.11 Å³/atom
density of states at the Fermi level = 11.6 states/eV per cell
ΔE_f (raw) = -1.276 eV per atom

```
&SYSTEM
  ibrav = 0, nat = 20, ntyp = 4
/
ATOMIC_SPECIES
Np 237.00 Np.upf
Tl 204.38 Tl.upf
In 114.82 In.upf
Cl 35.45 Cl.upf
CELL_PARAMETERS angstrom
7.548 0.000 0.000
0.000 8.266 0.000
-6.985 0.000 10.935
ATOMIC_POSITIONS crystal
Np 0.000 0.000 0.000
Np 0.000 0.500 0.500
Tl 0.289 0.074 0.760
Tl 0.289 0.426 0.260
Tl 0.711 0.574 0.740
Tl 0.711 0.926 0.240
In 0.500 0.000 0.500
In 0.500 0.500 0.000
Cl 0.098 0.062 0.233
Cl 0.098 0.438 0.733
Cl 0.235 0.722 0.074
Cl 0.235 0.778 0.574
Cl 0.349 0.171 0.052
Cl 0.349 0.329 0.552
Cl 0.651 0.671 0.448
Cl 0.651 0.829 0.948
Cl 0.765 0.222 0.426
Cl 0.765 0.278 0.926
Cl 0.902 0.562 0.267
Cl 0.902 0.938 0.767
```

No. 7
First-principles (PBE) data for crystalline AlOsBr at its relaxed geometry, as listed in the Alexandria database. Values from VASP.

Computed properties:
SG = F-43m, No. 216
energy above the most stable polymorph in this dataset = 2.40 eV per formula unit
V = 19.24 Å³/atom
density of states at the Fermi level = 3.0 states/eV per cell
ΔE_f (raw) = 1.140 eV per atom

```
&SYSTEM
  ibrav = 0, nat = 3, ntyp = 3
/
ATOMIC_SPECIES
Al 26.98 Al.upf
Os 190.23 Os.upf
Br 79.90 Br.upf
CELL_PARAMETERS angstrom
0.000 3.067 3.067
3.067 0.000 3.067
3.067 3.067 0.000
ATOMIC_POSITIONS crystal
Al 0.000 0.000 0.000
Os 0.250 0.250 0.250
Br 0.750 0.750 0.750
```

No. 8
First-principles (PBE) data for crystalline LiInGaBi at its relaxed geometry, as listed in the Alexandria database. Values from VASP.

Computed properties:
SG = F-43m, No. 216
energy relative to the elements = -0.1254 eV per atom
V = 24.58 Å³/atom
density of states at the Fermi level = 0.3 states/eV per cell

```
&SYSTEM
  ibrav = 0, nat = 4, ntyp = 4
/
ATOMIC_SPECIES
Li 6.94 Li.upf
In 114.82 In.upf
Ga 69.72 Ga.upf
Bi 208.98 Bi.upf
CELL_PARAMETERS angstrom
0.000 3.663 3.663
3.663 0.000 3.663
3.663 3.663 0.000
ATOMIC_POSITIONS crystal
Li 0.000 0.000 0.000
In 0.750 0.750 0.750
Ga 0.500 0.500 0.500
Bi 0.250 0.250 0.250
```

No. 9
First-principles (PBE) data for crystalline TlPbN2O at its relaxed geometry, as listed in the Alexandria database. Values from VASP.

Computed properties:
SG = P4/mmm, No. 123
V = 19.10 Å³/atom
density of states at the Fermi level = 2.2 states/eV per cell
ΔE_f (raw) = 1.161 eV per atom

```
&SYSTEM
  ibrav = 0, nat = 5, ntyp = 4
/
ATOMIC_SPECIES
Tl 204.38 Tl.upf
Pb 207.20 Pb.upf
N 14.01 N.upf
O 16.00 O.upf
CELL_PARAMETERS angstrom
4.665 0.000 0.000
0.000 4.665 0.000
0.000 0.000 4.388
ATOMIC_POSITIONS crystal
Tl 0.000 0.000 0.000
Pb 0.500 0.500 0.500
N 0.000 0.500 0.500
N 0.500 0.000 0.500
O 0.500 0.500 0.000
```

No. 10
First-principles (PBE) data for crystalline PrCdSn2 at its relaxed geometry, as listed in the Alexandria database. Values from VASP.

Computed properties:
SG = R-3m, No. 166
energy above the most stable polymorph in this dataset = 2.79 eV per formula unit
energy relative to the elements = 0.1894 eV per atom
V = 45.66 Å³/atom
density of states at the Fermi level = 3.5 states/eV per cell

```
&SYSTEM
  ibrav = 0, nat = 4, ntyp = 3
/
ATOMIC_SPECIES
Pr 140.91 Pr.upf
Cd 112.41 Cd.upf
Sn 118.71 Sn.upf
CELL_PARAMETERS angstrom
2.671 1.542 7.389
-2.671 1.542 7.389
0.000 -3.084 7.389
ATOMIC_POSITIONS crystal
Pr 0.000 0.000 0.000
Cd 0.500 0.500 0.500
Sn 0.372 0.372 0.372
Sn 0.628 0.628 0.628
```

No. 11
First-principles (PBE) data for crystalline Na2ErSi3Au12 at its relaxed geometry, as listed in the Alexandria database. Values from VASP.

Computed properties:
SG = R-3m, No. 166
V = 21.57 Å³/atom
density of states at the Fermi level = 4.9 states/eV per cell
ΔE_f (raw) = -0.082 eV per atom

```
&SYSTEM
  ibrav = 0, nat = 18, ntyp = 4
/
ATOMIC_SPECIES
Na 22.99 Na.upf
Er 167.26 Er.upf
Si 28.09 Si.upf
Au 196.97 Au.upf
CELL_PARAMETERS angstrom
4.526 2.613 5.471
-4.526 2.613 5.471
0.000 -5.227 5.471
ATOMIC_POSITIONS crystal
Na 0.085 0.085 0.085
Na 0.915 0.915 0.915
Er 0.500 0.500 0.500
Si 0.000 0.500 0.500
Si 0.500 0.000 0.500
Si 0.500 0.500 0.000
Au 0.111 0.666 0.666
Au 0.197 0.197 0.642
Au 0.197 0.642 0.197
Au 0.334 0.334 0.889
Au 0.334 0.889 0.334
Au 0.358 0.803 0.803
Au 0.642 0.197 0.197
Au 0.666 0.111 0.666
Au 0.666 0.666 0.111
Au 0.803 0.358 0.803
Au 0.803 0.803 0.358
Au 0.889 0.334 0.334
```

No. 12
First-principles (PBE) data for crystalline TlSn2Os at its relaxed geometry, as listed in the Alexandria database. Values from VASP.

Computed properties:
SG = I-42d, No. 122
energy above the most stable polymorph in this dataset = 0.00 eV per formula unit
energy relative to the elements = 0.6587 eV per atom
V = 35.05 Å³/atom
density of states at the Fermi level = 5.6 states/eV per cell

```
&SYSTEM
  ibrav = 0, nat = 8, ntyp = 3
/
ATOMIC_SPECIES
Tl 204.38 Tl.upf
Sn 118.71 Sn.upf
Os 190.23 Os.upf
CELL_PARAMETERS angstrom
-3.030 3.030 7.633
3.030 -3.030 7.633
3.030 3.030 -7.633
ATOMIC_POSITIONS crystal
Tl 0.000 0.000 0.000
Tl 0.750 0.250 0.500
Sn 0.263 0.625 0.138
Sn 0.375 0.513 0.638
Sn 0.487 0.125 0.862
Sn 0.875 0.737 0.362
Os 0.250 0.750 0.500
Os 0.500 0.500 0.000
```

No. 13
First-principles (PBE) data for crystalline Li8NiRh6 at its relaxed geometry, as listed in the Alexandria database. Values from VASP.

Computed properties:
SG = R-3, No. 148
energy relative to the elements = -0.1052 eV per atom
V = 13.66 Å³/atom
density of states at the Fermi level = 9.1 states/eV per cell

```
&SYSTEM
  ibrav = 0, nat = 15, ntyp = 3
/
ATOMIC_SPECIES
Li 6.94 Li.upf
Ni 58.69 Ni.upf
Rh 102.91 Rh.upf
CELL_PARAMETERS angstrom
3.380 1.951 5.178
-3.380 1.951 5.178
0.000 -3.902 5.178
ATOMIC_POSITIONS crystal
Li 0.080 0.080 0.080
Li 0.178 0.307 0.612
Li 0.307 0.612 0.178
Li 0.388 0.822 0.693
Li 0.612 0.178 0.307
Li 0.693 0.388 0.822
Li 0.822 0.693 0.388
Li 0.920 0.920 0.920
Ni 0.500 0.500 0.500
Rh 0.051 0.767 0.586
Rh 0.233 0.414 0.949
Rh 0.414 0.949 0.233
Rh 0.586 0.051 0.767
Rh 0.767 0.586 0.051
Rh 0.949 0.233 0.414
```

No. 14
First-principles (PBE) data for crystalline Tl2PtI at its relaxed geometry, as listed in the Alexandria database. Values from VASP.

Computed properties:
SG = Fm-3m, No. 225
energy above the most stable polymorph in this dataset = 1.33 eV per formula unit
V = 28.86 Å³/atom
density of states at the Fermi level = 7.1 states/eV per cell
ΔE_f (raw) = 0.285 eV per atom

```
&SYSTEM
  ibrav = 0, nat = 4, ntyp = 3
/
ATOMIC_SPECIES
Tl 204.38 Tl.upf
Pt 195.08 Pt.upf
I 126.90 I.upf
CELL_PARAMETERS angstrom
0.000 3.865 3.865
3.865 0.000 3.865
3.865 3.865 0.000
ATOMIC_POSITIONS crystal
Tl 0.250 0.250 0.250
Tl 0.750 0.750 0.750
Pt 0.000 0.000 0.000
I 0.500 0.500 0.500
```

No. 15
First-principles (PBE) data for crystalline BeRePt2W at its relaxed geometry, as listed in the Alexandria database. Values from VASP.

Computed properties:
SG = P4/mmm, No. 123
energy relative to the elements = 1.6835 eV per atom
V = 18.53 Å³/atom
density of states at the Fermi level = 6.9 states/eV per cell

```
&SYSTEM
  ibrav = 0, nat = 5, ntyp = 4
/
ATOMIC_SPECIES
Be 9.01 Be.upf
Re 186.21 Re.upf
Pt 195.08 Pt.upf
W 183.84 W.upf
CELL_PARAMETERS angstrom
4.759 0.000 0.000
0.000 4.759 0.000
0.000 0.000 4.090
ATOMIC_POSITIONS crystal
Be 0.000 0.000 0.000
Re 0.000 0.000 0.500
Pt 0.000 0.500 0.500
Pt 0.500 0.000 0.500
W 0.500 0.500 0.000
```

No. 16
First-principles (PBE) data for crystalline Pu2PS at its relaxed geometry, as listed in the Alexandria database. Values from VASP.

Computed properties:
SG = P6_3/mmc, No. 194
energy above the most stable polymorph in this dataset = 0.33 eV per formula unit
V = 23.11 Å³/atom
density of states at the Fermi level = 31.6 states/eV per cell
ΔE_f (raw) = -1.396 eV per atom

```
&SYSTEM
  ibrav = 0, nat = 8, ntyp = 3
/
ATOMIC_SPECIES
Pu 244.00 Pu.upf
P 30.97 P.upf
S 32.06 S.upf
CELL_PARAMETERS angstrom
3.984 0.000 0.000
-1.992 3.450 0.000
0.000 0.000 13.451
ATOMIC_POSITIONS crystal
Pu 0.333 0.667 0.120
Pu 0.333 0.667 0.380
Pu 0.667 0.333 0.620
Pu 0.667 0.333 0.880
P 0.000 0.000 0.000
P 0.000 0.000 0.500
S 0.333 0.667 0.750
S 0.667 0.333 0.250
```

No. 17
First-principles (PBE) data for crystalline YHoTm2S6 at its relaxed geometry, as listed in the Alexandria database. Values from VASP.

Computed properties:
SG = R3, No. 146
V = 24.93 Å³/atom
density of states at the Fermi level = 0.0 states/eV per cell
ΔE_f (raw) = -2.063 eV per atom

```
&SYSTEM
  ibrav = 0, nat = 10, ntyp = 4
/
ATOMIC_SPECIES
Y 88.91 Y.upf
Ho 164.93 Ho.upf
Tm 168.93 Tm.upf
S 32.06 S.upf
CELL_PARAMETERS angstrom
3.425 1.978 6.133
-3.425 1.978 6.133
0.000 -3.955 6.133
ATOMIC_POSITIONS crystal
Y 0.000 0.000 0.000
Ho 0.499 0.499 0.499
Tm 0.300 0.300 0.300
Tm 0.800 0.800 0.800
S 0.094 0.695 0.406
S 0.198 0.593 0.904
S 0.406 0.094 0.695
S 0.593 0.904 0.198
S 0.695 0.406 0.094
S 0.904 0.198 0.593
```

No. 18
First-principles (PBE) data for crystalline CdMoAs at its relaxed geometry, as listed in the Alexandria database. Values from VASP.

Computed properties:
SG = P-6m2, No. 187
energy above the most stable polymorph in this dataset = 0.82 eV per formula unit
energy relative to the elements = 0.3796 eV per atom
V = 17.81 Å³/atom
density of states at the Fermi level = 1.3 states/eV per cell

```
&SYSTEM
  ibrav = 0, nat = 3, ntyp = 3
/
ATOMIC_SPECIES
Cd 112.41 Cd.upf
Mo 95.94 Mo.upf
As 74.92 As.upf
CELL_PARAMETERS angstrom
4.668 0.000 0.000
-2.334 4.042 0.000
0.000 0.000 2.832
ATOMIC_POSITIONS crystal
Cd 0.000 0.000 0.000
Mo 0.667 0.333 0.500
As 0.333 0.667 0.500
```

No. 19
First-principles (PBE) data for crystalline ZrTcIr2 at its relaxed geometry, as listed in the Alexandria database. Values from VASP.

Computed properties:
SG = I-42d, No. 122
energy above the most stable polymorph in this dataset = 2.61 eV per formula unit
energy relative to the elements = 0.1915 eV per atom
V = 17.67 Å³/atom
density of states at the Fermi level = 6.9 states/eV per cell

```
&SYSTEM
  ibrav = 0, nat = 8, ntyp = 3
/
ATOMIC_SPECIES
Zr 91.22 Zr.upf
Tc 98.00 Tc.upf
Ir 192.22 Ir.upf
CELL_PARAMETERS angstrom
-1.973 1.973 9.080
1.973 -1.973 9.080
1.973 1.973 -9.080
ATOMIC_POSITIONS crystal
Zr 0.000 0.000 0.000
Zr 0.750 0.250 0.500
Tc 0.250 0.750 0.500
Tc 0.500 0.500 0.000
Ir 0.148 0.625 0.023
Ir 0.375 0.398 0.523
Ir 0.602 0.125 0.977
Ir 0.875 0.852 0.477
```

No. 20
First-principles (PBE) data for crystalline Ac15NdSm4 at its relaxed geometry, as listed in the Alexandria database. Values from VASP.

Computed properties:
SG = P4/mmm, No. 123
energy relative to the elements = 0.0279 eV per atom
V = 42.11 Å³/atom
density of states at the Fermi level = 33.0 states/eV per cell

```
&SYSTEM
  ibrav = 0, nat = 20, ntyp = 3
/
ATOMIC_SPECIES
Ac 227.00 Ac.upf
Nd 144.24 Nd.upf
Sm 150.36 Sm.upf
CELL_PARAMETERS angstrom
5.532 0.000 0.000
0.000 5.532 0.000
0.000 0.000 27.516
ATOMIC_POSITIONS crystal
Ac 0.000 0.000 0.000
Ac 0.000 0.000 0.200
Ac 0.000 0.000 0.400
Ac 0.000 0.000 0.600
Ac 0.000 0.000 0.800
Ac 0.000 0.500 0.100
Ac 0.000 0.500 0.300
Ac 0.000 0.500 0.500
Ac 0.000 0.500 0.700
Ac 0.000 0.500 0.900
Ac 0.500 0.000 0.100
Ac 0.500 0.000 0.300
Ac 0.500 0.000 0.500
Ac 0.500 0.000 0.700
Ac 0.500 0.000 0.900
Nd 0.500 0.500 0.000
Sm 0.500 0.500 0.200
Sm 0.500 0.500 0.400
Sm 0.500 0.500 0.600
Sm 0.500 0.500 0.800
```